# ZrHgI6 (PBE-GGA, relaxed)
data_ZrHgI6
_space_group_name_H-M_alt 'P -1'
_space_group_IT_number 2
_cell_length_a 7.362
_cell_length_b 7.540
_cell_length_c 7.780
_cell_angle_alpha 96.53
_cell_angle_beta 111.99
_cell_angle_gamma 116.94
loop_
_space_group_symop_operation_xyz
'x,y,z'
'-x,-y,-z'
loop_
_atom_site_label
_atom_site_type_symbol
_atom_site_fract_x
_atom_site_fract_y
_atom_site_fract_z
_atom_site_occupancy
Zr1 Zr 0.000 0.000 0.000 1
Hg1 Hg 0.000 0.500 0.500 1
I1 I 0.171 0.429 0.255 1
I2 I 0.172 0.222 0.772 1
I3 I 0.441 0.064 0.230 1
# Calculated density: 5.215 g/cm³
# Final energy: -2.85 eV per atom
# E_form (uncorrected): -0.59 eV per atom
# Total magnetization: 0.00 μB per atom

# Er5Tm2Ge4 (PBE-GGA, relaxed)
data_Er5Tm2Ge4
_space_group_name_H-M_alt 'C 1 2/m 1'
_space_group_IT_number 12
_cell_length_a 21.954
_cell_length_b 3.700
_cell_length_c 7.456
_cell_angle_alpha 90.00
_cell_angle_beta 99.38
_cell_angle_gamma 90.00
loop_
_space_group_symop_operation_xyz
'x,y,z'
'-x,-y,-z'
'-x,y,-z'
'x,-y,z'
'x+1/2,y+1/2,z'
'-x+1/2,-y+1/2,-z'
'-x+1/2,y+1/2,-z'
'x+1/2,-y+1/2,z'
loop_
_atom_site_label
_atom_site_type_symbol
_atom_site_fract_x
_atom_site_fract_y
_atom_site_fract_z
_atom_site_occupancy
Er1 Er 0.000 0.000 0.000 1
Er2 Er 0.110 0.500 0.396 1
Er3 Er 0.154 0.500 0.968 1
Tm1 Tm 0.228 0.000 0.668 1
Ge1 Ge 0.021 0.500 0.697 1
Ge2 Ge 0.099 0.000 0.691 1
# Calculated density: 8.140 g/cm³
# Final energy: -4.82 eV per atom
# Energy of formation from the pure elements: -2.75 eV per formula unit
# Total magnetization: 0.00 μB per atom

# PrI (PBE-GGA, relaxed)
data_PrI
_space_group_name_H-M_alt 'P m -3 m'
_space_group_IT_number 221
_space_group_name_Hall '-P 4 2 3'
_cell_length_a 3.928
_cell_length_b 3.928
_cell_length_c 3.928
_cell_angle_alpha 90.00
_cell_angle_beta 90.00
_cell_angle_gamma 90.00
loop_
_atom_site_label
_atom_site_type_symbol
_atom_site_fract_x
_atom_site_fract_y
_atom_site_fract_z
_atom_site_occupancy
Pr1 Pr 0.000 0.000 0.000 1
I1 I 0.500 0.500 0.500 1
# Calculated density: 7.338 g/cm³
# Final energy: -3.99 eV per atom
# E_form (uncorrected): -0.83 eV per atom
# Total magnetization: 0.00 μB per atom

# YEr2UO8 (PBE-GGA, relaxed)
data_YEr2UO8
_space_group_name_H-M_alt 'P m m m'
_space_group_IT_number 47
_cell_length_a 3.849
_cell_length_b 5.287
_cell_length_c 7.515
_cell_angle_alpha 90.00
_cell_angle_beta 90.00
_cell_angle_gamma 90.00
loop_
_space_group_symop_operation_xyz
'x,y,z'
'-x,-y,-z'
'-x,-y,z'
'x,y,-z'
'x,-y,-z'
'-x,y,z'
'-x,y,-z'
'x,-y,z'
loop_
_atom_site_label
_atom_site_type_symbol
_atom_site_fract_x
_atom_site_fract_y
_atom_site_fract_z
_atom_site_occupancy
Y1 Y 0.000 0.000 0.000 1
Er1 Er 0.500 0.500 0.250 1
U1 U 0.000 0.000 0.500 1
O1 O 0.000 0.244 0.271 1
O2 O 0.500 0.234 0.500 1
O3 O 0.500 0.254 0.000 1
# Calculated density: 8.573 g/cm³
# Final energy: -8.83 eV per atom
# E_form (uncorrected): -3.29 eV per atom
# Total magnetization: 0.00 μB per atom

# NaFeIr (PBE-GGA, relaxed)
data_NaFeIr
_space_group_name_H-M_alt 'P 1'
_space_group_IT_number 1
_cell_length_a 4.381
_cell_length_b 4.907
_cell_length_c 5.790
_cell_angle_alpha 91.78
_cell_angle_beta 112.07
_cell_angle_gamma 90.00
loop_
_space_group_symop_operation_xyz
'x,y,z'
loop_
_atom_site_label
_atom_site_type_symbol
_atom_site_fract_x
_atom_site_fract_y
_atom_site_fract_z
_atom_site_occupancy
Na1 Na 0.000 0.000 0.000 1
Na2 Na 0.468 0.526 0.934 1
Fe1 Fe 0.203 0.517 0.400 1
Fe2 Fe 0.752 0.286 0.500 1
Ir1 Ir 0.272 0.038 0.538 1
Ir2 Ir 0.734 0.772 0.463 1
# Calculated density: 7.810 g/cm³
# Final energy: -5.92 eV per atom
# Energy above the lowest structure with this stoichiometry: 3.3 kJ/mol of atoms
# Energy of formation from the pure elements: 0.89 eV per formula unit
# Total magnetization: 1.06 μB per atom

# MgUGe2 (PBE-GGA, relaxed)
data_MgUGe2
_space_group_name_H-M_alt 'R -3 m'
_space_group_IT_number 166
_space_group_name_Hall '-R 3 2"'
_cell_length_a 4.5928
_cell_length_b 4.5928
_cell_length_c 13.5213
_cell_angle_alpha 90.00
_cell_angle_beta 90.00
_cell_angle_gamma 120.00
loop_
_atom_site_label
_atom_site_type_symbol
_atom_site_fract_x
_atom_site_fract_y
_atom_site_fract_z
_atom_site_occupancy
Mg1 Mg 0.0000 0.0000 0.0000 1
U1 U 0.0000 0.0000 0.5000 1
Ge1 Ge 0.0000 0.0000 0.2555 1
# Calculated density: 8.221 g/cm³
# Final energy: -5.62 eV per atom
# Energy of formation from the pure elements: -0.37 eV per formula unit
# Total magnetization: 0.48 μB per atom

# CdRe2Pb (PBE-GGA, relaxed)
data_CdRe2Pb
_space_group_name_H-M_alt 'C m m m'
_space_group_IT_number 65
_space_group_name_Hall '-C 2 2'
_cell_length_a 3.147
_cell_length_b 4.721
_cell_length_c 10.252
_cell_angle_alpha 90.00
_cell_angle_beta 90.00
_cell_angle_gamma 90.00
loop_
_atom_site_label
_atom_site_type_symbol
_atom_site_fract_x
_atom_site_fract_y
_atom_site_fract_z
_atom_site_occupancy
Cd1 Cd 0.000 0.000 0.000 1
Re1 Re 0.000 0.500 0.235 1
Pb1 Pb 0.000 0.000 0.500 1
# Calculated density: 15.091 g/cm³
# Final energy: -6.24 eV per atom
# Energy above the lowest structure with this stoichiometry: 77.2 kJ/mol of atoms
# Energy of formation from the pure elements: 4.55 eV per formula unit
# Total magnetization: 0.00 μB per atom

# Sc4SbAs3 (PBE-GGA, relaxed)
data_Sc4SbAs3
_space_group_name_H-M_alt 'C m m m'
_space_group_IT_number 65
_space_group_name_Hall '-C 2 2'
_cell_length_a 7.938
_cell_length_b 11.183
_cell_length_c 3.935
_cell_angle_alpha 90.00
_cell_angle_beta 90.00
_cell_angle_gamma 90.00
loop_
_atom_site_label
_atom_site_type_symbol
_atom_site_fract_x
_atom_site_fract_y
_atom_site_fract_z
_atom_site_occupancy
Sc1 Sc 0.000 0.244 0.000 1
Sc2 Sc 0.236 0.000 0.500 1
Sb1 Sb 0.000 0.500 0.000 1
As1 As 0.000 0.000 0.000 1
As2 As 0.250 0.250 0.500 1
# Calculated density: 5.005 g/cm³
# Final energy: -6.67 eV per atom
# E_form (uncorrected): -1.24 eV per atom
# Total magnetization: 0.00 μB per atom

# Ce2SmHo (PBE-GGA, relaxed)
data_Ce2SmHo
_space_group_name_H-M_alt 'R 3 m'
_space_group_IT_number 160
_space_group_name_Hall 'R 3 -2"'
_cell_length_a 3.4955
_cell_length_b 3.4955
_cell_length_c 34.7357
_cell_angle_alpha 90.00
_cell_angle_beta 90.00
_cell_angle_gamma 120.00
loop_
_atom_site_label
_atom_site_type_symbol
_atom_site_fract_x
_atom_site_fract_y
_atom_site_fract_z
_atom_site_occupancy
Ce1 Ce 0.0000 0.0000 0.0000 1
Ce2 Ce 0.0000 0.0000 0.1683 1
Sm1 Sm 0.0000 0.0000 0.7523 1
Ho1 Ho 0.0000 0.0000 0.5829 1
# Calculated density: 8.071 g/cm³
# Final energy: -5.19 eV per atom
# Energy above the lowest structure with this stoichiometry: 0.0 kJ/mol of atoms
# Energy of formation from the pure elements: 0.41 eV per formula unit
# Total magnetization: 0.31 μB per atom

# NbFe2BrN (PBE-GGA, relaxed)
data_NbFe2BrN
_space_group_name_H-M_alt 'P 4/m m m'
_space_group_IT_number 123
_space_group_name_Hall '-P 4 2'
_cell_length_a 3.845
_cell_length_b 3.845
_cell_length_c 4.342
_cell_angle_alpha 90.00
_cell_angle_beta 90.00
_cell_angle_gamma 90.00
loop_
_atom_site_label
_atom_site_type_symbol
_atom_site_fract_x
_atom_site_fract_y
_atom_site_fract_z
_atom_site_occupancy
Nb1 Nb 0.000 0.000 0.000 1
Fe1 Fe 0.000 0.500 0.500 1
Br1 Br 0.500 0.500 0.000 1
N1 N 0.000 0.000 0.500 1
# Calculated density: 7.721 g/cm³
# Final energy: -7.01 eV per atom
# E_form (uncorrected): 0.39 eV per atom
# Total magnetization: 0.00 μB per atom

# TiZnNiCl (PBE-GGA, relaxed)
data_TiZnNiCl
_space_group_name_H-M_alt 'I 4 m m'
_space_group_IT_number 107
_space_group_name_Hall 'I 4 -2'
_cell_length_a 2.954
_cell_length_b 2.954
_cell_length_c 15.506
_cell_angle_alpha 90.00
_cell_angle_beta 90.00
_cell_angle_gamma 90.00
loop_
_atom_site_label
_atom_site_type_symbol
_atom_site_fract_x
_atom_site_fract_y
_atom_site_fract_z
_atom_site_occupancy
Ti1 Ti 0.000 0.000 0.000 1
Zn1 Zn 0.000 0.000 0.193 1
Ni1 Ni 0.000 0.000 0.607 1
Cl1 Cl 0.000 0.000 0.401 1
# Calculated density: 5.092 g/cm³
# Final energy: -4.65 eV per atom
# E_form (uncorrected): -0.45 eV per atom
# Energy above the lowest structure with this stoichiometry: 5.1 kJ/mol of atoms
# Total magnetization: 0.01 μB per atom

# Th6InOs2 (PBE-GGA, relaxed)
data_Th6InOs2
_space_group_name_H-M_alt 'I m m m'
_space_group_IT_number 71
_space_group_name_Hall '-I 2 2'
_cell_length_a 9.470
_cell_length_b 9.695
_cell_length_c 11.017
_cell_angle_alpha 90.00
_cell_angle_beta 90.00
_cell_angle_gamma 90.00
loop_
_atom_site_label
_atom_site_type_symbol
_atom_site_fract_x
_atom_site_fract_y
_atom_site_fract_z
_atom_site_occupancy
Th1 Th 0.000 0.203 0.242 1
Th2 Th 0.194 0.500 0.169 1
Th3 Th 0.207 0.316 0.500 1
In1 In 0.000 0.000 0.000 1
In2 In 0.000 0.000 0.500 1
Os1 Os 0.000 0.339 0.000 1
Os2 Os 0.000 0.500 0.366 1
# Calculated density: 12.395 g/cm³
# Final energy: -7.96 eV per atom
# Energy of formation from the pure elements: -1.95 eV per formula unit
# Total magnetization: 0.00 μB per atom

# ScBeGe2N (PBE-GGA, relaxed)
data_ScBeGe2N
_space_group_name_H-M_alt 'P 4/m m m'
_space_group_IT_number 123
_space_group_name_Hall '-P 4 2'
_cell_length_a 5.126
_cell_length_b 5.126
_cell_length_c 3.009
_cell_angle_alpha 90.00
_cell_angle_beta 90.00
_cell_angle_gamma 90.00
loop_
_atom_site_label
_atom_site_type_symbol
_atom_site_fract_x
_atom_site_fract_y
_atom_site_fract_z
_atom_site_occupancy
Sc1 Sc 0.000 0.000 0.000 1
Be1 Be 0.500 0.500 0.500 1
Ge1 Ge 0.000 0.500 0.500 1
N1 N 0.500 0.500 0.000 1
# Calculated density: 4.478 g/cm³
# Final energy: -5.48 eV per atom
# E_form (uncorrected): 0.04 eV per atom
# Total magnetization: 0.00 μB per atom